Material: HfScTa4
Method: DFT, PBE
State: relaxed

Geometry as POSCAR:
```
HfScTa4
1.0
5.568 0.000 0.000
2.784 4.822 0.000
2.784 1.607 4.546
Ta Sc Hf
4 1 1
direct
0.625 0.625 0.124 Ta
0.625 0.625 0.625 Ta
0.625 0.124 0.625 Ta
0.124 0.625 0.625 Ta
0.250 0.250 0.250 Sc
0.000 0.000 0.000 Hf
```

The symmetry is F-43m, No. 216. The energy of formation comes out at 161 meV per atom. The value obtained for the total energy is -62.7 eV per formula unit. For the total magnetization, the calculation gives 0.001 μB/atom. Its density of states at the Fermi level is 15.03 states/eV per cell.